PdAuI2N after structural relaxation. Source: Alexandria via LeMat-Bulk, functional PBE.

POSCAR file:
```
PdAuI2N
1.0
5.7085 0.0000 0.0000
0.0000 5.7085 0.0000
0.0000 0.0000 3.7524
Pd Au I N
1 1 2 1
Direct
0.0000 0.0000 0.0000
0.5000 0.5000 0.5000
0.0000 0.5000 0.0000
0.5000 0.0000 0.0000
0.0000 0.0000 0.5000
```

Density (Mg/m³): 7.76
Spin magnetization (μB per formula unit): 0.000
E_form (uncorrected) (eV/f.u.): 4.0